Entry 1:
This record from Alexandria via LeMat-Bulk describes a geometry-optimized Re2PbIN structure. The functional is PBE.

Geometry as CIF:
```
data_Re2PbIN
_chemical_formula_sum 'Re2 Pb1 I1 N1'
_space_group_name_H-M_alt 'P 4/m m m'
_space_group_IT_number 123
_space_group_name_Hall '-P 4 2'
_cell_length_a 5.444
_cell_length_b 5.444
_cell_length_c 4.284
_cell_angle_alpha 90.00
_cell_angle_beta 90.00
_cell_angle_gamma 90.00
loop_
_atom_site_label
_atom_site_fract_x
_atom_site_fract_y
_atom_site_fract_z
_atom_site_occupancy
Re1 0.000 0.500 0.000 1
Pb1 0.000 0.000 0.000 1
I1 0.500 0.500 0.500 1
N1 0.000 0.000 0.500 1
```

Summary:
crystal system: tetragonal
formation energy from raw total energies: 2.91 eV/atom
DOS at the Fermi energy: 3.690 states/eV per cell
total magnetization: 8.004 μB/f.u.

Entry 2:
This record from Alexandria via LeMat-Bulk describes a geometry-optimized RePbI2N structure. The functional is PBE.

Geometry as CIF:
```
data_RePbI2N
_chemical_formula_sum 'Re1 Pb1 I2 N1'
_space_group_name_H-M_alt 'P 4/m m m'
_space_group_IT_number 123
_space_group_name_Hall '-P 4 2'
_cell_length_a 6.318
_cell_length_b 6.318
_cell_length_c 5.588
_cell_angle_alpha 90.00
_cell_angle_beta 90.00
_cell_angle_gamma 90.00
loop_
_atom_site_label
_atom_site_fract_x
_atom_site_fract_y
_atom_site_fract_z
_atom_site_occupancy
Re1 0.000 0.000 0.000 1
Pb1 0.000 0.000 0.500 1
I1 0.000 0.500 0.500 1
N1 0.500 0.500 0.000 1
```

Summary:
crystal system: tetragonal
formation energy from raw total energies: 2.23 eV/atom
energy above the lowest structure with this stoichiometry: 1.866 eV/atom
DOS at the Fermi energy: 1.432 states/eV per cell
total magnetization: 3.838 μB/f.u.

Entry 3:
This record from Alexandria via LeMat-Bulk describes a geometry-optimized RePbI2N structure. The functional is PBE.

Geometry as CIF:
```
data_RePbI2N
_chemical_formula_sum 'Re1 Pb1 I2 N1'
_space_group_name_H-M_alt 'P 4/m m m'
_space_group_IT_number 123
_space_group_name_Hall '-P 4 2'
_cell_length_a 6.361
_cell_length_b 6.361
_cell_length_c 4.428
_cell_angle_alpha 90.00
_cell_angle_beta 90.00
_cell_angle_gamma 90.00
loop_
_atom_site_label
_atom_site_fract_x
_atom_site_fract_y
_atom_site_fract_z
_atom_site_occupancy
Re1 0.000 0.000 0.000 1
Pb1 0.500 0.500 0.500 1
I1 0.000 0.500 0.500 1
N1 0.500 0.500 0.000 1
```

Summary:
crystal system: tetragonal
formation energy from raw total energies: 1.86 eV/atom
energy above the lowest structure with this stoichiometry: 1.495 eV/atom
DOS at the Fermi energy: 3.821 states/eV per cell
total magnetization: 7.172 μB/f.u.

Entry 4:
This record from Alexandria via LeMat-Bulk describes a geometry-optimized RePbI2N structure. The functional is PBE.

Geometry as CIF:
```
data_RePbI2N
_chemical_formula_sum 'Re1 Pb1 I2 N1'
_space_group_name_H-M_alt 'P 4/m m m'
_space_group_IT_number 123
_space_group_name_Hall '-P 4 2'
_cell_length_a 5.736
_cell_length_b 5.736
_cell_length_c 3.823
_cell_angle_alpha 90.00
_cell_angle_beta 90.00
_cell_angle_gamma 90.00
loop_
_atom_site_label
_atom_site_fract_x
_atom_site_fract_y
_atom_site_fract_z
_atom_site_occupancy
Re1 0.000 0.000 0.000 1
Pb1 0.500 0.500 0.500 1
I1 0.000 0.500 0.000 1
N1 0.000 0.000 0.500 1
```

Summary:
crystal system: tetragonal
formation energy from raw total energies: 0.36 eV/atom
energy above the lowest structure with this stoichiometry: 0.000 eV/atom
DOS at the Fermi energy: 3.116 states/eV per cell
total magnetization: 0.000 μB/f.u.